(w)
VASP calculation (PBE) on an optimized crystal structure of ScTcAs2.

Results
* total magnetization: 0.000 μB per atom

Cell: 4.1276 3.3545 5.1645 Å, 85.84 90.00 90.00°
Fractional coordinates of all 4 atoms:
Tc 0.5000 0.7500 0.7500
As 0.0000 0.6507 0.4941
As 0.0000 0.8493 0.0059
Sc 0.5000 0.2500 0.2500

---

(x)
VASP calculation (PBE) on an optimized crystal structure of ScTcAs2.

Results
* total magnetization: 0.000 μB per atom

Cell: 4.0373 4.0373 5.9129 Å, 75.87 75.87 50.26°
Fractional coordinates of all 4 atoms:
Sc 0.7500 0.7500 0.7500
Tc 0.2500 0.2500 0.2500
As 0.9946 0.9946 0.0318
As 0.5054 0.5054 0.4682

---

(x) comes first in stability; the runner-up is 117 meV/atom higher.

---

(w)
VASP calculation (PBE) on an optimized crystal structure of ScTcAs2.

Results
* total magnetization: 0.000 μB per atom

Cell: 4.9344 4.9344 4.6334 Å, 77.12 77.12 38.68°
Fractional coordinates of all 4 atoms:
Sc 0.4943 0.4943 0.5586
Tc 0.2660 0.2660 0.1522
As 0.9886 0.9886 0.0628
As 0.7511 0.7511 0.7264

---

(x)
VASP calculation (PBE) on an optimized crystal structure of ScTcAs2.

Results
* total magnetization: 0.000 μB per atom

Cell: 4.5256 4.5256 4.5256 Å, 60.00 60.00 60.00°
Fractional coordinates of all 4 atoms:
Tc 0.5000 0.5000 0.5000
Sc 0.0000 0.0000 0.0000
As 0.7500 0.7500 0.7500
As 0.2500 0.2500 0.2500

---

(x) comes first in stability; the runner-up is 37 meV/atom higher.

---

(w)
VASP calculation (PBE) on an optimized crystal structure of ScTcAs2.

Results
* total magnetization: 0.000 μB per atom

Cell: 6.6163 6.6163 6.6163 Å, 151.99 148.46 42.69°
Fractional coordinates of all 4 atoms:
Sc 0.4533 0.4533 0.0000
Tc 0.2073 0.7073 0.5000
As 0.7889 0.2889 0.5000
As 0.0506 0.0506 0.0000

---

(x)
VASP calculation (PBE) on an optimized crystal structure of ScTcAs2.

Results
* total magnetization: 0.209 μB per atom

Cell: 5.4612 5.4612 5.4612 Å, 139.38 139.38 58.79°
Fractional coordinates of all 4 atoms:
As 0.2500 0.7500 0.5000
Sc 0.5000 0.5000 0.0000
As 0.0000 0.0000 0.0000
Tc 0.7500 0.2500 0.5000

---

(y)
VASP calculation (PBE) on an optimized crystal structure of ScTcAs2.

Results
* total magnetization: 0.000 μB per atom

Cell: 3.3861 3.4534 5.9068 Å, 90.00 90.00 90.00°
Fractional coordinates of all 4 atoms:
As 0.0000 0.0000 0.9565
Sc 0.0000 0.0000 0.4707
As 0.5000 0.5000 0.2927
Tc 0.5000 0.5000 0.7801

---

(z)
VASP calculation (PBE) on an optimized crystal structure of ScTcAs2.

Results
* total magnetization: 0.000 μB per atom

Cell: 8.8079 8.8079 8.8079 Å, 20.65 20.65 20.65°
Fractional coordinates of all 4 atoms:
Tc 0.7450 0.7450 0.7450
As 0.0125 0.0125 0.0125
Sc 0.4955 0.4955 0.4955
As 0.2470 0.2470 0.2470

---

(w) comes first in stability; the runner-up is 167 meV/atom higher.

---

(w)
VASP calculation (PBE) on an optimized crystal structure of Sc3TcAs.

Results
* total magnetization: 0.109 μB per atom

Cell: 4.9457 4.9457 4.9457 Å, 90.00 90.00 90.00°
Fractional coordinates of all 5 atoms:
Sc 0.0000 0.0000 0.5000
Sc 0.0000 0.5000 0.0000
Tc 0.5000 0.5000 0.5000
Sc 0.5000 0.0000 0.0000
As 0.0000 0.0000 0.0000

---

(x)
VASP calculation (PBE) on an optimized crystal structure of Sc3TcAs.

Results
* total magnetization: 0.000 μB per atom

Cell: 4.9330 4.9330 4.9330 Å, 90.00 90.00 90.00°
Fractional coordinates of all 5 atoms:
Sc 0.5000 0.0000 0.0000
Sc 0.0000 0.5000 0.0000
As 0.5000 0.5000 0.5000
Tc 0.0000 0.0000 0.0000
Sc 0.0000 0.0000 0.5000

---

(x) comes first in stability; the runner-up is 187 meV/atom higher.

---

(w)
VASP calculation (PBE) on an optimized crystal structure of ScTcAs.

Results
* total magnetization: 0.000 μB per atom

Cell: 4.3752 4.3752 4.3752 Å, 60.00 60.00 60.00°
Fractional coordinates of all 3 atoms:
Sc 0.7500 0.7500 0.7500
Tc 0.0000 0.0000 0.0000
As 0.5000 0.5000 0.5000

---

(x)
VASP calculation (PBE) on an optimized crystal structure of ScTcAs.

Results
* total magnetization: 0.463 μB per atom

Cell: 4.2976 4.2976 4.2976 Å, 60.00 60.00 60.00°
Fractional coordinates of all 3 atoms:
Sc 0.0000 0.0000 0.0000
Tc 0.5000 0.5000 0.5000
As 0.7500 0.7500 0.7500

---

(y)
VASP calculation (PBE) on an optimized crystal structure of ScTcAs.

Results
* total magnetization: 0.000 μB per atom

Cell: 6.5116 6.2571 3.0445 Å, 80.91 71.59 27.50°
Fractional coordinates of all 3 atoms:
Sc 0.6679 0.6679 0.3321
Tc 0.3419 0.3419 0.6581
As 0.9902 0.9902 0.0098

---

(z)
VASP calculation (PBE) on an optimized crystal structure of ScTcAs.

Results
* total magnetization: 0.000 μB per atom

Cell: 4.2771 4.2771 3.2913 Å, 90.00 90.00 120.00°
Fractional coordinates of all 3 atoms:
As 0.0000 0.0000 0.8335
Sc 0.6667 0.3333 0.3331
Tc 0.3333 0.6667 0.8334

---

(z) comes first in stability; the runner-up is 169 meV/atom higher.

---

(w)
VASP calculation (PBE) on an optimized crystal structure of ScTcAs.

Results
* total magnetization: 0.000 μB per atom

Cell: 5.4424 5.4424 5.4424 Å, 145.59 145.59 49.45°
Fractional coordinates of all 3 atoms:
As 0.9738 0.9738 0.0000
Sc 0.6682 0.6682 0.0000
Tc 0.3580 0.3580 0.0000

---

(x)
VASP calculation (PBE) on an optimized crystal structure of ScTcAs.

Results
* total magnetization: 0.000 μB per atom

Cell: 3.3368 3.3368 5.6823 Å, 90.00 90.00 120.00°
Fractional coordinates of all 3 atoms:
As 0.0000 0.0000 0.9719
Sc 0.6667 0.3333 0.3278
Tc 0.3333 0.6667 0.7003

---

(w) comes first in stability; the runner-up is 199 meV/atom higher.